Entry 1:
4
Lattice="6.943 -0.002 -0.006 -2.573 3.796 0.014 1.797 1.218 2.797" Properties=species:S:1:pos:R:3 comment="PBE ZrAlAs2, relaxed" final_energy_ev_per_atom=-5.80 vol_a3_per_atom=18.4 pbc="T T T"
Zr -0.388 2.507 1.405
As 0.000 0.000 0.000
As 4.370 0.608 1.396
Al 2.185 1.897 0.004

***

Entry 2:
12
Lattice="6.205 -0.002 -0.002 -3.103 5.373 -0.002 -1.033 -1.788 11.642" Properties=species:S:1:pos:R:3 comment="PBE La3Y6Tm2Sc, relaxed" final_energy_ev_per_atom=-5.70 vol_a3_per_atom=32.3 pbc="T T T"
La -2.067 3.583 5.819
La 4.137 0.000 5.819
La 1.035 1.792 5.819
Y -1.028 1.775 2.803
Y 3.098 1.808 8.835
Y -0.004 -0.008 8.835
Y 2.074 3.591 2.803
Y 0.018 3.587 8.835
Y 2.052 -0.004 2.803
Sc 0.000 0.000 0.000
Tm 3.101 1.791 -0.002
Tm 0.002 3.581 -0.002

***

Entry 3:
18
Lattice="6.372 0.000 -2.088 -0.709 6.552 -2.164 0.130 0.029 11.163" Properties=species:S:1:pos:R:3 comment="PBE Pm5Tl2H2, relaxed" final_energy_ev_per_atom=-4.17 vol_a3_per_atom=26.0 pbc="T T T"
Pm 1.150 4.965 8.892
Pm 3.225 4.246 0.527
Pm 4.530 5.703 4.509
Pm 4.275 5.013 -3.104
Pm 2.558 2.426 6.354
Pm 4.630 1.737 -2.022
Pm 1.253 0.970 2.371
Pm 1.504 1.689 9.974
Pm 6.381 0.109 3.477
Pm -0.253 3.385 4.453
H 4.465 4.984 2.322
H -0.006 0.058 -0.019
H 2.825 3.334 -2.146
H 1.316 1.708 4.552
Tl 0.135 4.173 1.227
Tl 5.642 2.553 5.635
Tl 1.619 5.830 5.755
Tl 4.158 0.897 1.107

***

Entry 4:
5
Lattice="-1.222 -3.894 -1.760 -0.858 -1.704 4.366 -4.197 1.437 -0.264" Properties=species:S:1:pos:R:3 comment="PBE AgGeIr2S, relaxed" e_form_raw_mev_per_atom=736 final_energy_ev_per_atom=-5.13 vol_a3_per_atom=18.8 pbc="T T T"
Ir -0.611 -1.947 -0.880
Ir -2.099 0.719 -0.132
Ag -0.429 -0.852 2.183
S 0.000 0.000 0.000
Ge -3.139 -2.080 1.171

***

Values of density, in order: 6.0 5.7 8.1 10.5, all in Mg/m³.